1.
A geometry-optimized NaLaMg6O8 structure, computed with PBE.

## Properties
Space group   P4/mmm, No. 123
V   185.6 Å³ per cell
Uncorrected formation energy   -2.453 eV/atom

```
16
Lattice="4.514 0.000 0.000 0.000 4.514 0.000 0.000 0.000 9.107" Properties=species:S:1:pos:R:3 pbc="T T T"
O 2.257 0.000 0.000
O 2.257 2.257 2.274
O 0.000 2.257 4.554
O 0.000 0.000 2.342
O 2.257 0.000 4.554
O 2.257 2.257 6.834
O 0.000 2.257 0.000
O 0.000 0.000 6.765
Mg 2.257 2.257 0.000
Mg 0.000 2.257 2.541
Mg 0.000 2.257 6.567
Mg 2.257 0.000 2.541
Mg 2.257 0.000 6.567
Mg 2.257 2.257 4.554
La 0.000 0.000 0.000
Na 0.000 0.000 4.554
```

2.
A geometry-optimized SrMg2InIr structure, computed with PBE.

## Properties
Space group   P4/mmm, No. 123
V   134.2 Å³ per cell
ΔH_f (0 K)   -0.274 eV/atom

```
5
Lattice="5.084 0.000 0.000 0.000 5.084 0.000 0.000 0.000 5.193" Properties=species:S:1:pos:R:3 pbc="T T T"
In 0.000 0.000 2.596
Mg 2.542 0.000 0.000
Mg 0.000 2.542 0.000
Sr 2.542 2.542 2.596
Ir 0.000 0.000 0.000
```

What are the uncorrected energy values for these records? In order: -0.2176 -0.1311 Ha/atom.